No. 1
Compound: Pm3HoCo
Source: the Alexandria database
Functional: PBE
Structure: relaxed

The space group is Ima2 (No. 46) and the conventional cell measures 9.325, 7.450 and 8.544 Å, with angles of 90.00, 90.00 and 90.00 degrees. The inequivalent atoms are Pm at (0.036, 0.250, 0.000), Pm at (0.250, 0.521, 0.251), Ho at (0.250, 0.530, 0.749) and Co at (0.250, 0.748, 0.000).

Its density of states at the Fermi level is 25.107 states/eV per cell.

No. 2
Compound: HoSiNiIr
Source: the Alexandria database
Functional: PBE
Structure: relaxed

The space group is Imm2 (No. 44) and the conventional cell measures 3.869, 4.031 and 9.426 Å, with angles of 90.00, 90.00 and 90.00 degrees. The inequivalent atoms are Ho at (0.000, 0.000, 0.000), Si at (0.000, 0.500, 0.255), Ni at (0.000, 0.000, 0.359) and Ir at (0.000, 0.000, 0.621).

Its density of states at the Fermi level is 3.430 states/eV per cell.

No. 3
Compound: MnAl2H2
Source: the Alexandria database
Functional: PBE
Structure: relaxed

The space group is I4/mmm (No. 139) and the conventional cell measures 2.755, 2.755 and 12.646 Å, with angles of 90.00, 90.00 and 90.00 degrees. The inequivalent atoms are Mn at (0.000, 0.000, 0.000), Al at (0.000, 0.000, 0.364) and H at (0.000, 0.500, 0.250).

Its density of states at the Fermi level is 2.820 states/eV per cell.

No. 4
Compound: CoSn8Ir2
Source: the Alexandria database
Functional: PBE
Structure: relaxed

The space group is C2/m (No. 12) and the conventional cell measures 17.119, 4.330 and 6.867 Å, with angles of 90.00, 111.29 and 90.00 degrees. The inequivalent atoms are Co at (0.000, 0.000, 0.000), Sn at (0.043, 0.500, 0.839), Sn at (0.078, 0.000, 0.442), Sn at (0.174, 0.000, 0.976), Sn at (0.210, 0.500, 0.326) and Ir at (0.173, 0.500, 0.682).

Its density of states at the Fermi level is 9.294 states/eV per cell.

No. 5
Compound: NbNiP3
Source: the Alexandria database
Functional: PBE
Structure: relaxed

The space group is Pm-3m (No. 221) and the conventional cell measures 4.336, 4.336 and 4.336 Å, with angles of 90.00, 90.00 and 90.00 degrees. The inequivalent atoms are Nb at (0.000, 0.000, 0.000), Ni at (0.500, 0.500, 0.500) and P at (0.000, 0.500, 0.500).

Its density of states at the Fermi level is 5.137 states/eV per cell.

No. 6
Compound: Te2HAuN
Source: the Alexandria database
Functional: PBE
Structure: relaxed

The space group is P4/mmm (No. 123) and the conventional cell measures 5.433, 5.433 and 2.886 Å, with angles of 90.00, 90.00 and 90.00 degrees. The inequivalent atoms are Te at (0.000, 0.500, 0.000), H at (0.000, 0.000, 0.000), Au at (0.500, 0.500, 0.500) and N at (0.000, 0.000, 0.500).

Its density of states at the Fermi level is 4.171 states/eV per cell.

No. 7
Compound: RbB4H12
Source: the Alexandria database
Functional: PBE
Structure: relaxed

The space group is Im-3m (No. 229) and the conventional cell measures 6.216, 6.216 and 6.216 Å, with angles of 90.00, 90.00 and 90.00 degrees. The inequivalent atoms are Rb at (0.000, 0.000, 0.000), B at (0.250, 0.250, 0.250) and H at (0.000, 0.263, 0.263).

Its density of states at the Fermi level is 5.286 states/eV per cell.

No. 8
Compound: TlSbAsO6
Source: the Alexandria database
Functional: PBE
Structure: relaxed

The space group is P312 (No. 149) and the conventional cell measures 5.2007, 5.2007 and 5.3058 Å, with angles of 90.00, 90.00 and 120.00 degrees. The inequivalent atoms are Tl at (0.0000, 0.0000, 0.0000), Sb at (0.6667, 0.3333, 0.5000), As at (0.3333, 0.6667, 0.5000) and O at (0.0193, 0.3881, 0.7028).

Its density of states at the Fermi level is 1.999 states/eV per cell.

No. 9
Compound: CsPdSe4
Source: the Alexandria database
Functional: PBE
Structure: relaxed

The space group is P-1 (No. 2) and the conventional cell measures 6.238, 7.621 and 9.369 Å, with angles of 95.01, 105.36 and 112.97 degrees. The inequivalent atoms are Cs at (0.201, 0.228, 0.238), Pd at (0.253, 0.740, 0.247), Se at (0.199, 0.452, 0.825), Se at (0.211, 0.756, 0.503), Se at (0.301, 0.076, 0.616) and Se at (0.407, 0.722, 0.031).

Its density of states at the Fermi level is 0.674 states/eV per cell.

No. 10
Compound: Y2ZrTlH
Source: the Alexandria database
Functional: PBE
Structure: relaxed

The space group is P4/mmm (No. 123) and the conventional cell measures 4.796, 4.796 and 4.597 Å, with angles of 90.00, 90.00 and 90.00 degrees. The inequivalent atoms are Y at (0.000, 0.500, 0.000), Zr at (0.000, 0.000, 0.500), Tl at (0.500, 0.500, 0.500) and H at (0.000, 0.000, 0.000).

Its density of states at the Fermi level is 5.207 states/eV per cell.

no.,calculated total energy (eV/f.u.)
1,-26.074
2,-26.892
3,-23.021
4,-57.334
5,-29.322
6,-16.303
7,-57.134
8,-51.164
9,-22.779
10,-28.463